Material: SrLaTcHg2
Method: DFT, GGA-PBE
State: optimized geometry

## Properties
ΔE_f = 0.49 eV/atom
calculated density = 6.83 g/cm3
SG = P4/mmm (123)

abc: 5.985 4.927 5.985
angles: 90.00 90.00 90.00
Each line ends with the local moment (μB).
Positions (direct):
Tc (0.000, 0.500, 0.000)  1.05
Sr (0.500, 0.500, 0.500)  0.00
Hg (0.000, 0.000, 0.500)  0.01
Hg (0.500, 0.000, 0.000)  -0.02
La (0.000, 0.000, 0.000)  -0.08